Entry 1:
CeSm3Sc2Se6 | PBE | relaxed

Magnetic moment ... 0.83 μB/f.u.
Formation energy from raw total energies ... -1.726 eV per atom

Cell and atoms, written as POSCAR:
```
CeSm3Sc2Se6
1.0
-2.5551 3.4311 -5.6170
-2.4790 -6.3935 1.6822
-2.9802 3.8305 5.1869
Ce Sm Sc Se
1 3 2 6
direct
0.0000 0.0000 0.0000
0.1603 0.8397 0.5000
0.8397 0.1603 0.5000
0.5000 0.5000 0.5000
0.3321 0.6679 0.0000
0.6679 0.3321 0.0000
0.9213 0.5731 0.7632
0.7277 0.7277 0.2294
0.0787 0.4269 0.2368
0.5731 0.9213 0.7632
0.2723 0.2723 0.7706
0.4269 0.0787 0.2368
```



Entry 2:
YOsC | PBE | relaxed

Magnetic moment ... 0.00 μB/f.u.
Relative energy among the computed polymorphs ... 0.00 kJ/mol of atoms
ΔE_f ... -14 meV/atom

Cell and atoms, written as POSCAR:
```
YOsC
1.0
-3.4441 -1.3309 3.0887
2.3586 -0.8267 2.2738
-1.2643 3.1328 -0.0600
Y C Os
1 1 1
direct
0.7274 0.3333 0.6667
0.0696 0.6667 0.3333
0.2029 0.0000 0.0000
```



Entry 3:
PrIn5Br8 | PBE | relaxed

Magnetic moment ... 0.00 μB/f.u.
Formation energy from raw total energies ... -0.995 eV per atom

Cell and atoms, written as POSCAR:
```
PrIn5Br8
1.0
-2.2131 3.6548 -7.3941
-3.0501 -7.9761 -0.0855
-3.2297 4.3715 6.5869
Pr In Br
1 5 8
direct
0.2500 0.7500 0.5000
0.8633 0.2480 0.8588
0.7520 0.6109 0.6153
0.3891 0.0044 0.1412
0.5000 0.5000 0.0000
0.9956 0.1367 0.3847
0.0334 0.7543 0.1362
0.2457 0.3819 0.2791
0.5710 0.8346 0.3915
0.1654 0.5568 0.7364
0.8205 0.4290 0.2636
0.1028 0.9666 0.7209
0.6181 0.8972 0.8638
0.4432 0.1795 0.6085
```



Entry 4:
MnAl2Br | PBE | relaxed

Magnetic moment ... 2.07 μB/f.u.
Formation energy from raw total energies ... 0.044 eV per atom
Relative energy among the computed polymorphs ... 0.00 kJ/mol of atoms

Cell and atoms, written as POSCAR:
```
MnAl2Br
1.0
-1.4605 7.9081 1.2117
-4.3555 6.6649 1.6577
-2.2493 6.6884 4.0429
Mn Al Br
1 2 1
direct
0.7500 0.7500 0.7500
0.0098 0.0098 0.0098
0.4902 0.4902 0.4902
0.2500 0.2500 0.2500
```



Entry 5:
Ac3TbSm4 | PBE | relaxed

Magnetic moment ... 0.00 μB/f.u.
ΔE_f ... 46 meV/atom

Cell and atoms, written as POSCAR:
```
Ac3TbSm4
1.0
5.3265 0.0000 0.0000
0.0000 10.6081 0.0000
0.0000 0.0000 10.6158
Ac Tb Sm
6 2 8
direct
0.5644 0.6330 0.0000
0.0644 0.6335 0.2551
0.5644 0.3665 0.2449
0.0644 0.3670 0.5000
0.5644 0.3665 0.7551
0.0644 0.6335 0.7449
0.0644 0.3626 0.0000
0.5644 0.6374 0.5000
0.0644 0.8853 0.0000
0.5644 0.1177 0.0000
0.0644 0.1161 0.2460
0.5644 0.8839 0.2540
0.0644 0.8823 0.5000
0.5644 0.1147 0.5000
0.5644 0.8839 0.7460
0.0644 0.1161 0.7540
```



Entry 6:
MgSbPt2 | PBE | relaxed

Magnetic moment ... 0.00 μB/f.u.
Formation energy from raw total energies ... -0.512 eV per atom

Cell and atoms, written as POSCAR:
```
MgSbPt2
1.0
4.4499 -0.0284 0.0000
-0.5403 4.4171 0.0000
0.0000 0.0000 3.6133
Mg Pt Sb
1 2 1
direct
0.0000 0.5000 0.5000
0.0000 0.0000 0.0000
0.5000 0.5000 0.0000
0.5000 0.0000 0.5000
```



Entry 7:
Ca2SbPt6 | PBE | relaxed

Magnetic moment ... 0.00 μB/f.u.
Formation energy from raw total energies ... -0.705 eV per atom

Cell and atoms, written as POSCAR:
```
Ca2SbPt6
1.0
-3.4637 2.5519 -3.7308
0.1512 -5.6782 0.3218
-5.0278 -1.2585 3.8071
Ca Sb Pt
2 1 6
direct
0.6426 0.2853 0.1499
0.3574 0.7147 0.8501
0.0000 0.0000 0.0000
0.8776 0.2798 0.6818
0.8821 0.7642 0.6786
0.4022 0.2798 0.6818
0.1224 0.7202 0.3182
0.1179 0.2358 0.3214
0.5978 0.7202 0.3182
```



Entry 8:
CaNd3Dy2Te6 | PBE | relaxed

Magnetic moment ... 0.00 μB/f.u.
Formation energy from raw total energies ... -1.409 eV per atom

Cell and atoms, written as POSCAR:
```
CaNd3Dy2Te6
1.0
-2.7758 2.6710 -2.1545
-4.5531 1.4017 7.6036
8.1614 5.6506 1.0114
Ca Nd Dy Te
1 3 2 6
direct
0.5000 0.0000 0.0000
0.5000 0.5000 0.0000
0.8349 0.1745 0.6698
0.1651 0.8255 0.3302
0.8307 0.6619 0.6614
0.1693 0.3381 0.3386
0.3344 0.9110 0.6687
0.6680 0.5748 0.3360
0.6656 0.0890 0.3313
0.0046 0.2463 0.0092
0.9954 0.7537 0.9908
0.3320 0.4252 0.6640
```



Entry 9:
NaPAu2 | PBE | relaxed

Magnetic moment ... 0.00 μB/f.u.
ΔE_f ... -222 meV/atom

Cell and atoms, written as POSCAR:
```
NaPAu2
1.0
-1.0665 -2.7375 -4.6340
-3.0597 -3.5781 2.8179
-8.0472 1.0747 -2.0312
P Au Na
2 4 2
direct
0.0000 0.0000 0.0000
0.7500 0.2500 0.5000
0.7879 0.1250 0.2500
0.9621 0.6250 0.2500
0.3750 0.2121 0.7500
0.8750 0.0379 0.7500
0.5000 0.5000 0.0000
0.2500 0.7500 0.5000
```



Entry 10:
HoLuScPd | PBE | relaxed

Magnetic moment ... 0.00 μB/f.u.
ΔE_f ... -214 meV/atom

Cell and atoms, written as POSCAR:
```
HoLuScPd
1.0
-3.3974 -0.4807 -3.7737
-2.5559 -4.3744 -0.5885
-4.9836 -0.2050 1.0660
Sc Lu Ho Pd
1 1 1 1
direct
0.0000 0.0000 0.0000
0.7500 0.7500 0.7500
0.2500 0.2500 0.2500
0.5000 0.5000 0.5000
```



Entry 11:
CePaGe2 | PBE | relaxed

Magnetic moment ... 0.88 μB/f.u.
Relative energy among the computed polymorphs ... 14.15 kJ/mol of atoms
ΔE_f ... -408 meV/atom

Cell and atoms, written as POSCAR:
```
CePaGe2
1.0
-0.3905 -4.4668 -2.3130
1.2883 -4.2247 2.4385
-3.5623 -3.2761 1.4256
Ge Pa Ce
2 1 1
direct
0.2500 0.2500 0.2500
0.7500 0.7500 0.7500
0.0000 0.0000 0.0000
0.5000 0.5000 0.5000
```



Entry 12:
Sm2Dy4Ho2Tm | PBE | relaxed

Magnetic moment ... 0.00 μB/f.u.
ΔE_f ... 9 meV/atom

Cell and atoms, written as POSCAR:
```
Sm2Dy4Ho2Tm
1.0
3.5839 0.0000 0.0000
-1.7919 9.2899 -0.4786
0.0000 -3.6904 8.7762
Sm Dy Ho Tm
2 4 2 1
direct
0.8520 0.7040 0.3340
0.1480 0.2960 0.6660
0.8154 0.6307 0.6678
0.1846 0.3693 0.3322
0.5184 0.0367 0.3301
0.4816 0.9633 0.6699
0.3339 0.6678 0.9991
0.6661 0.3322 0.0009
0.0000 0.0000 0.0000
```



Entry 13:
CaNdLu2 | PBE | relaxed

Magnetic moment ... 0.00 μB/f.u.
Relative energy among the computed polymorphs ... 0.79 kJ/mol of atoms
ΔE_f ... 96 meV/atom

Cell and atoms, written as POSCAR:
```
CaNdLu2
1.0
-0.2222 -2.3928 2.7140
1.9858 -2.3537 -1.9124
8.5759 3.8833 4.1259
Ca Lu Nd
1 2 1
direct
0.5000 0.5000 0.5000
0.0000 0.0000 0.7673
0.0000 0.0000 0.2327
0.5000 0.5000 0.0000
```



Entry 14:
BaTlZn | PBE | relaxed

Magnetic moment ... 0.00 μB/f.u.
Relative energy among the computed polymorphs ... 11.62 kJ/mol of atoms
ΔE_f ... -145 meV/atom

Cell and atoms, written as POSCAR:
```
BaTlZn
1.0
-0.9755 6.0591 2.9931
-1.4450 3.3764 5.7561
3.4014 1.0170 1.5645
Ba Tl Zn
1 1 1
direct
0.0087 0.0087 0.9913
0.3065 0.3065 0.6935
0.6847 0.6847 0.3153
```



Entry 15:
La2SmBi | PBE | relaxed

Magnetic moment ... 0.00 μB/f.u.
Relative energy among the computed polymorphs ... 3.25 kJ/mol of atoms
ΔE_f ... -445 meV/atom

Cell and atoms, written as POSCAR:
```
La2SmBi
1.0
4.7143 0.0000 -0.0190
0.0000 4.6936 0.0000
-2.3140 0.0000 12.1892
La Sm Bi
4 2 2
direct
0.5771 0.2500 0.1372
0.4229 0.7500 0.8628
0.0440 0.7500 0.1217
0.9560 0.2500 0.8783
0.6965 0.7500 0.3911
0.3035 0.2500 0.6089
0.1749 0.2500 0.3441
0.8251 0.7500 0.6559
```



Entry 16:
BeSi2Pb | PBE | relaxed

Magnetic moment ... 0.00 μB/f.u.
Formation energy from raw total energies ... 0.470 eV per atom
Relative energy among the computed polymorphs ... 10.34 kJ/mol of atoms

Cell and atoms, written as POSCAR:
```
BeSi2Pb
1.0
-4.0858 -2.2743 1.3062
2.3243 -2.0198 3.7537
-2.6789 3.4536 6.6570
Pb Be Si
2 2 4
direct
0.0000 0.0000 0.0000
0.7500 0.2500 0.5000
0.5000 0.5000 0.0000
0.2500 0.7500 0.5000
0.4738 0.1250 0.2500
0.2762 0.6250 0.2500
0.3750 0.5262 0.7500
0.8750 0.7238 0.7500
```



Entry 17:
TmAgSn2Se4 | PBE | relaxed

Magnetic moment ... 0.00 μB/f.u.
Formation energy from raw total energies ... -0.749 eV per atom

Cell and atoms, written as POSCAR:
```
TmAgSn2Se4
1.0
-3.5677 2.1190 0.3819
-3.7771 -6.3055 -0.2988
-0.8283 -2.5896 6.6313
Tm Ag Sn Se
1 1 2 4
direct
0.0000 0.5000 0.5000
0.5000 0.5000 0.0000
0.0000 0.0000 0.0000
0.5000 0.0000 0.5000
0.0000 0.7324 0.7509
0.0000 0.2676 0.2491
0.5000 0.7337 0.2631
0.5000 0.2663 0.7369
```



Entry 18:
KMgSe | PBE | relaxed

Magnetic moment ... 0.74 μB/f.u.
Formation energy from raw total energies ... -0.758 eV per atom
Relative energy among the computed polymorphs ... 18.67 kJ/mol of atoms

Cell and atoms, written as POSCAR:
```
KMgSe
1.0
-0.9373 -1.0393 6.8513
4.1851 -0.4271 0.5078
0.8964 7.1426 -1.3801
K Mg Se
2 2 2
direct
0.0849 0.0000 0.8871
0.0849 0.5000 0.3871
0.5934 0.0000 0.3879
0.5934 0.5000 0.8879
0.4409 0.0000 0.6711
0.4409 0.5000 0.1711
```



Entry 19:
Ce2Pu2Sb2H | PBE | relaxed

Magnetic moment ... 15.43 μB/f.u.

Cell and atoms, written as POSCAR:
```
Ce2Pu2Sb2H
1.0
-0.1491 -4.2344 -1.7344
3.7921 0.8569 -2.4180
2.9435 -1.1306 8.5498
Ce Pu Sb H
2 2 2 1
direct
0.1708 0.1708 0.3417
0.8292 0.8292 0.6583
0.0000 0.5000 0.0000
0.5000 0.0000 0.0000
0.3605 0.3605 0.7211
0.6395 0.6395 0.2789
0.0000 0.0000 0.0000
```



Entry 20:
NaZnMo3 | PBE | relaxed

Magnetic moment ... 0.00 μB/f.u.
Relative energy among the computed polymorphs ... 0.00 kJ/mol of atoms
ΔE_f ... 1851 meV/atom

Cell and atoms, written as POSCAR:
```
NaZnMo3
1.0
4.6749 0.0000 0.0000
0.0000 4.6749 0.0000
0.0000 0.0000 4.6749
Na Mo Zn
1 3 1
direct
0.5000 0.5000 0.5000
0.0000 0.5000 0.0000
0.0000 0.0000 0.5000
0.5000 0.0000 0.0000
0.0000 0.0000 0.0000
```



Entry 21:
SmZrInAu | PBE | relaxed

Magnetic moment ... 1.05 μB/f.u.
ΔE_f ... -376 meV/atom

Cell and atoms, written as POSCAR:
```
SmZrInAu
1.0
5.1395 0.0000 0.0000
2.5697 4.4509 0.0000
2.5697 1.4836 4.1964
Au Zr Sm In
1 1 1 1
direct
0.0000 0.0000 0.0000
0.2500 0.2500 0.2500
0.7500 0.7500 0.7500
0.5000 0.5000 0.5000
```



Entry 22:
SrReW2 | PBE | relaxed

Magnetic moment ... 0.00 μB/f.u.
Relative energy among the computed polymorphs ... 4.73 kJ/mol of atoms
ΔE_f ... 797 meV/atom

Cell and atoms, written as POSCAR:
```
SrReW2
1.0
4.2948 0.0000 0.0000
0.0000 2.8739 -0.0095
0.0000 1.4237 6.8716
Re Sr W
1 1 2
direct
0.0000 0.5108 0.4171
0.5000 0.7548 0.7447
0.0000 0.9834 0.0819
0.5000 0.2510 0.2563
```



Entry 23:
NaZr3Sb | PBE | relaxed

Magnetic moment ... 0.66 μB/f.u.
Formation energy from raw total energies ... 1.096 eV per atom
Relative energy among the computed polymorphs ... 37.34 kJ/mol of atoms

Cell and atoms, written as POSCAR:
```
NaZr3Sb
1.0
4.9686 0.0000 0.0000
0.0000 4.9686 0.0000
0.0000 0.0000 4.9686
Sb Zr Na
1 3 1
direct
0.5000 0.5000 0.5000
0.0000 0.5000 0.0000
0.0000 0.0000 0.5000
0.5000 0.0000 0.0000
0.0000 0.0000 0.0000
```



Entry 24:
BaSrEuBiO6 | PBE | relaxed

Magnetic moment ... 6.00 μB/f.u.
Formation energy from raw total energies ... -2.130 eV per atom
Relative energy among the computed polymorphs ... 5.52 kJ/mol of atoms

Cell and atoms, written as POSCAR:
```
BaSrEuBiO6
1.0
-3.3708 -5.1697 -0.3550
-3.0043 -2.0795 4.9864
-6.1692 0.3097 0.2441
Ba Sr Eu Bi O
1 1 1 1 6
direct
0.2500 0.2500 0.2500
0.7500 0.7500 0.7500
0.5000 0.5000 0.5000
0.0000 0.0000 0.0000
0.2424 0.7575 0.2424
0.7575 0.2424 0.7575
0.2424 0.7575 0.7575
0.7575 0.2424 0.2424
0.2424 0.2424 0.7575
0.7575 0.7575 0.2424
```



Entry 25:
Li4FeOs | PBE | relaxed

Magnetic moment ... 3.47 μB/f.u.
ΔE_f ... 442 meV/atom

Cell and atoms, written as POSCAR:
```
Li4FeOs
1.0
0.0000 3.3190 3.3190
3.3190 0.0000 3.3190
3.3190 3.3190 0.0000
Li Fe Os
4 1 1
direct
0.6239 0.6239 0.1283
0.6239 0.1283 0.6239
0.6239 0.6239 0.6239
0.1283 0.6239 0.6239
0.0000 0.0000 0.0000
0.2500 0.2500 0.2500
```



Entry 26:
DyPuRu | PBE | relaxed

Magnetic moment ... 5.68 μB/f.u.
Relative energy among the computed polymorphs ... 15.82 kJ/mol of atoms
ΔE_f ... -30 meV/atom

Cell and atoms, written as POSCAR:
```
DyPuRu
1.0
-1.5941 1.2680 2.7505
0.3066 -4.2080 2.1177
3.4547 3.1716 0.5401
Ru Dy Pu
1 1 1
direct
0.1669 0.0000 0.0000
0.6667 0.6667 0.3333
0.1664 0.3333 0.6667
```



Summary of total energy in eV/atom
-6.198 -8.987 -3.270 -4.538 -4.433 -4.962 -5.635 -5.105 -3.543 -5.370 -6.575 -4.599 -3.857 -1.999 -5.059 -4.100 -4.408 -2.817 -8.111 -5.166 -5.197 -9.212 -5.121 -6.881 -4.116 -9.433
(order as listed above)